## CeTc2Ge2 (PBE)

Data for a geometry-optimized CeTc2Ge2 structure.

Output
The value obtained for the uncorrected energy is -7.64 eV per atom. For the density of states at the Fermi level, the calculation gives 1.161 states/eV per atom. As for the total moment: 2.411 μB per cell. The value obtained for the energy of formation is -0.46 eV per atom.

abc: 4.1864 4.1997 21.4299
angles: 90.00 90.00 90.00
Space group Imma (No. 74)
Symmetry-distinct sites (fractional):
1 Ce 0.0000 0.2500 0.1598 (multiplicity 4)
2 Tc 0.0000 0.2500 0.4623 (multiplicity 4)
3 Tc 0.0000 0.2500 0.9649 (multiplicity 4)
4 Ge 0.0000 0.2500 0.6045 (multiplicity 4)
5 Ge 0.0000 0.2500 0.7209 (multiplicity 4)